The following is a GGA-PBE calculation of LuGaAgSn after structural relaxation, from the Alexandria database.

```
LuGaAgSn
1.0
-0.170 2.267 -4.431
-4.041 -0.453 -2.875
-3.017 3.902 -0.686
Ag Lu Sn Ga
1 1 1 1
Direct
0.500 0.500 0.500 Ag
0.000 0.000 0.000 Lu
0.250 0.250 0.250 Sn
0.750 0.750 0.750 Ga
```

Results
DOS at the Fermi energy, states/eV/cell: 1.36
Mass density, g/cm3: 8.96
ΔH_f (0 K), meV per atom: -216.8

=====

The following is a GGA-PBE calculation of TbScOsRh after structural relaxation, from the Alexandria database.

```
TbScOsRh
1.0
-2.438 -1.644 -3.674
2.063 -0.381 -4.213
0.982 -4.252 -1.763
Sc Os Tb Rh
1 1 1 1
Direct
0.750 0.750 0.750 Sc
0.500 0.500 0.500 Os
0.250 0.250 0.250 Tb
0.000 0.000 0.000 Rh
```

Results
DOS at the Fermi energy, states/eV/cell: 2.82
Mass density, g/cm3: 11.20
ΔH_f (0 K), meV per atom: -532.8